Record 1
Ca8Zn2Cu after structural relaxation, computed with GGA-PBE.

As for the calculated formation energy: -0.048 eV per atom. As for the calculated volume: 744 Å³ per cell. Its polymorph energy (0 for the lowest one) is 30 meV/atom.

It has space group Cm (No. 8), with a = 9.0696 Å, b = 13.7194 Å, c = 6.4210 Å, α = 90.00°, β = 111.35° and γ = 90.00°. Symmetry generates all atoms from Ca at (0.0000, 0.0000, 0.0000), Ca at (0.0665, 0.3705, 0.8103), Ca at (0.1440, 0.1281, 0.5928), Ca at (0.2096, 0.5000, 0.3770), Ca at (0.3591, 0.2031, 0.1964), Zn at (0.3492, 0.3113, 0.6828) and Cu at (0.3577, 0.0000, 0.9871).

***

Record 2
Sc2InIr after structural relaxation, computed with GGA-PBE.

As for the calculated formation energy: -0.741 eV per atom. As for the calculated volume: 79 Å³ per cell.

It has space group P4/mmm (No. 123), with a = 3.1384 Å, b = 3.1384 Å, c = 8.0666 Å, α = 90.00°, β = 90.00° and γ = 90.00°. Symmetry generates all atoms from Sc at (0.0000, 0.0000, 0.2090), In at (0.5000, 0.5000, 0.5000) and Ir at (0.5000, 0.5000, 0.0000).

***

Record 3
K3Pm2SnO6 after structural relaxation, computed with GGA-PBE.

As for the calculated volume: 417 Å³ per cell. The uncorrected formation energy is -2.181 eV/atom.

It has space group C2/m (No. 12), with a = 6.1793 Å, b = 10.7027 Å, c = 6.6242 Å, α = 90.00°, β = 108.02° and γ = 90.00°. Symmetry generates all atoms from K at (0.0000, 0.0000, 0.0000), K at (0.0000, 0.3381, 0.0000), Pm at (0.0000, 0.1669, 0.5000), Sn at (0.0000, 0.5000, 0.5000), O at (0.2277, 0.3358, 0.6913) and O at (0.2350, 0.0000, 0.6905).

***

Record 4
Ba2Cd4GaGe3 after structural relaxation, computed with GGA-PBE.

As for the calculated formation energy: -0.342 eV per atom. As for the calculated volume: 260 Å³ per cell.

It has space group P-4m2 (No. 115), with a = 4.7374 Å, b = 4.7374 Å, c = 11.5645 Å, α = 90.00°, β = 90.00° and γ = 90.00°. Symmetry generates all atoms from Ba at (0.0000, 0.5000, 0.2502), Cd at (0.0000, 0.0000, 0.0000), Cd at (0.0000, 0.5000, 0.6285), Cd at (0.5000, 0.5000, 0.0000), Ga at (0.0000, 0.0000, 0.5000), Ge at (0.0000, 0.5000, 0.8644) and Ge at (0.5000, 0.5000, 0.5000).

***

Record 5
Tb7Ni2Ag2 after structural relaxation, computed with GGA-PBE.

As for the calculated formation energy: -0.129 eV per atom. As for the calculated volume: 594 Å³ per cell.

It has space group Cmmm (No. 65), with a = 7.7120 Å, b = 11.0149 Å, c = 6.9947 Å, α = 90.00°, β = 90.00° and γ = 90.00°. Symmetry generates all atoms from Tb at (0.0000, 0.0000, 0.0000), Tb at (0.0000, 0.5000, 0.2433), Tb at (0.2500, 0.2500, 0.2500), Ni at (0.0000, 0.2951, 0.0000) and Ag at (0.1788, 0.0000, 0.5000).

***

Record 6
Ac3Rh4Pb2 after structural relaxation, computed with GGA-PBE.

As for the calculated formation energy: -0.526 eV per atom. As for the calculated volume: 455 Å³ per cell. Its polymorph energy (0 for the lowest one) is 14 meV/atom.

It has space group C2/m (No. 12), with a = 12.5737 Å, b = 4.3198 Å, c = 9.3874 Å, α = 90.00°, β = 116.72° and γ = 90.00°. Symmetry generates all atoms from Ac at (0.0000, 0.0000, 0.0000), Ac at (0.1295, 0.5000, 0.7162), Rh at (0.0761, 0.0000, 0.4316), Rh at (0.2059, 0.5000, 0.0654) and Pb at (0.1710, 0.5000, 0.3410).

***

Record 7
MgCr2Br after structural relaxation, computed with GGA-PBE.

As for the calculated volume: 84 Å³ per cell. Its polymorph energy (0 for the lowest one) is 503 meV/atom. The uncorrected formation energy is 0.686 eV/atom.

It has space group Pmmm (No. 47), with a = 3.3719 Å, b = 4.7592 Å, c = 5.2441 Å, α = 90.00°, β = 90.00° and γ = 90.00°. Symmetry generates all atoms from Mg at (0.0000, 0.0000, 0.0000), Cr at (0.0000, 0.5000, 0.5000), Cr at (0.5000, 0.5000, 0.0000) and Br at (0.5000, 0.0000, 0.5000).

***

Record 8
Ho6Tl2Sn after structural relaxation, computed with GGA-PBE.

As for the calculated formation energy: -0.154 eV per atom. As for the calculated volume: 576 Å³ per cell.

It has space group Immm (No. 71), with a = 5.1316 Å, b = 7.2817 Å, c = 15.4123 Å, α = 90.00°, β = 90.00° and γ = 90.00°. Symmetry generates all atoms from Ho at (0.0000, 0.2493, 0.0000), Ho at (0.0000, 0.2501, 0.3332), Tl at (0.0000, 0.0000, 0.1665) and Sn at (0.0000, 0.0000, 0.5000).

***

Record 9
Ce8Ga2Rh after structural relaxation, computed with GGA-PBE.

As for the calculated formation energy: -0.314 eV per atom. As for the calculated volume: 534 Å³ per cell.

It has space group C2/m (No. 12), with a = 16.9469 Å, b = 5.0384 Å, c = 6.6689 Å, α = 90.00°, β = 110.28° and γ = 90.00°. Symmetry generates all atoms from Ce at (0.0049, 0.0000, 0.3032), Ce at (0.1065, 0.5000, 0.4118), Ce at (0.1502, 0.5000, 0.8920), Ce at (0.1965, 0.0000, 0.1756), Ga at (0.1914, 0.0000, 0.6683) and Rh at (0.0000, 0.5000, 0.0000).

***

Record 10
MgZnGe2 after structural relaxation, computed with GGA-PBE.

As for the calculated formation energy: 0.039 eV per atom. As for the calculated volume: 73 Å³ per cell. Its polymorph energy (0 for the lowest one) is 0 meV/atom.

It has space group P4/mmm (No. 123), with a = 4.2515 Å, b = 4.2515 Å, c = 4.0368 Å, α = 90.00°, β = 90.00° and γ = 90.00°. Symmetry generates all atoms from Mg at (0.0000, 0.0000, 0.0000), Zn at (0.5000, 0.5000, 0.0000) and Ge at (0.0000, 0.5000, 0.5000).

***

Record 11
AgSbCI2 after structural relaxation, computed with GGA-PBE.

As for the calculated volume: 175 Å³ per cell. Its polymorph energy (0 for the lowest one) is 606 meV/atom. The uncorrected formation energy is 1.769 eV/atom.

It has space group P4/mmm (No. 123), with a = 5.7133 Å, b = 5.7133 Å, c = 5.3747 Å, α = 90.00°, β = 90.00° and γ = 90.00°. Symmetry generates all atoms from Ag at (0.0000, 0.0000, 0.0000), Sb at (0.0000, 0.0000, 0.5000), C at (0.5000, 0.5000, 0.5000) and I at (0.0000, 0.5000, 0.0000).

***

Record 12
La2EuGd after structural relaxation, computed with GGA-PBE.

As for the calculated formation energy: 0.067 eV per atom. As for the calculated volume: 145 Å³ per cell. Its polymorph energy (0 for the lowest one) is 42 meV/atom.

It has space group P4/mmm (No. 123), with a = 5.2871 Å, b = 5.2871 Å, c = 5.1932 Å, α = 90.00°, β = 90.00° and γ = 90.00°. Symmetry generates all atoms from La at (0.0000, 0.5000, 0.0000), Eu at (0.0000, 0.0000, 0.5000) and Gd at (0.5000, 0.5000, 0.5000).

***

calculated volume of number 2 (Sc2InIr)? 79 Å³ per cell